[1]
Here is SiSn3Pd12 after structural relaxation from the Alexandria database. Energies are from GGA-PBE.

Values from the calculation:
Magnetic moment = 0.0 μB/f.u.
DFT total energy = -87.37 eV per cell
SG = P4/mmm

Unit cell a=4.0077 b=4.0077 c=15.9503 alpha=90.00 beta=90.00 gamma=90.00
Fractional positions:
Si  0.0000  0.0000  0.0000
Sn  0.0000  0.0000  0.2447
Sn  0.0000  0.0000  0.5000
Sn  0.0000  0.0000  0.7553
Pd  0.5000  0.5000  0.0000
Pd  0.5000  0.5000  0.2439
Pd  0.5000  0.5000  0.5000
Pd  0.5000  0.5000  0.7561
Pd  0.5000  0.0000  0.1150
Pd  0.5000  0.0000  0.3722
Pd  0.5000  0.0000  0.6278
Pd  0.5000  0.0000  0.8850
Pd  0.0000  0.5000  0.1150
Pd  0.0000  0.5000  0.3722
Pd  0.0000  0.5000  0.6278
Pd  0.0000  0.5000  0.8850


[2]
Here is Sr2SiSnPd6 after structural relaxation from the Alexandria database. Energies are from GGA-PBE.

Values from the calculation:
Magnetic moment = 0.0 μB/f.u.
DFT total energy = -48.55 eV per cell
SG = P-1

Unit cell a=6.8653 b=6.8794 c=6.8978 alpha=59.87 beta=59.95 gamma=89.92
Fractional positions:
Sr  0.7499  0.2501  0.5000
Sr  0.2501  0.7499  0.5000
Si  0.5000  0.5000  0.0000
Sn  0.0000  0.0000  0.0000
Pd  0.2659  0.2659  0.4683
Pd  0.7342  0.7338  0.0004
Pd  0.2658  0.7342  0.0000
Pd  0.7342  0.2658  0.0000
Pd  0.2658  0.2662  0.9996
Pd  0.7341  0.7341  0.5317


[3]
Here is TaSiSnPd2 after structural relaxation from the Alexandria database. Energies are from GGA-PBE.

Values from the calculation:
Magnetic moment = 0.0 μB/f.u.
DFT total energy = -28.56 eV per cell
SG = P4/mmm

Unit cell a=4.3991 b=5.2333 c=4.3991 alpha=90.00 beta=90.00 gamma=90.00
Fractional positions:
Si  0.0000  0.0000  0.0000
Sn  0.0000  0.5000  0.0000
Pd  0.0000  0.0000  0.5000
Pd  0.5000  0.0000  0.0000
Ta  0.5000  0.5000  0.5000


[4]
Here is SiSnPd2W after structural relaxation from the Alexandria database. Energies are from GGA-PBE.

Values from the calculation:
Magnetic moment = 0.0 μB/f.u.
DFT total energy = -26.43 eV per cell
SG = P4/mmm

Unit cell a=4.8438 b=5.2282 c=4.8438 alpha=90.00 beta=90.00 gamma=90.00
Fractional positions:
Si  0.5000  0.5000  0.5000
Pd  0.0000  0.0000  0.5000
Pd  0.5000  0.0000  0.0000
Sn  0.0000  0.5000  0.0000
W  0.0000  0.0000  0.0000


Result set for calculated volume: 16.01, 22.99, 20.26, 24.53 Å³/atom, one per record in the order listed.